Model one:
An optimized crystal structure of HfCrTe3, computed with GGA-PBE.

```
data_HfCrTe3
_cell_length_a 5.136
_cell_length_b 5.136
_cell_length_c 5.136
_cell_angle_alpha 90.00
_cell_angle_beta 90.00
_cell_angle_gamma 90.00
_symmetry_space_group_name_H-M 'P m -3 m'
_symmetry_Int_Tables_number 221
_symmetry_space_group_name_Hall '-P 4 2 3'
loop_
_atom_site_label
_atom_site_type_symbol
_atom_site_fract_x
_atom_site_fract_y
_atom_site_fract_z
Hf1 Hf 0.000 0.000 0.000
Cr1 Cr 0.500 0.500 0.500
Te1 Te 0.000 0.500 0.500
```

Total magnetic moment ... 3.9 μB/cell

---

Model two:
An optimized crystal structure of HfCrTe3, computed with GGA-PBE.

```
data_HfCrTe3
_cell_length_a 5.533
_cell_length_b 5.533
_cell_length_c 5.533
_cell_angle_alpha 90.00
_cell_angle_beta 90.00
_cell_angle_gamma 90.00
_symmetry_space_group_name_H-M 'P m -3 m'
_symmetry_Int_Tables_number 221
_symmetry_space_group_name_Hall '-P 4 2 3'
loop_
_atom_site_label
_atom_site_type_symbol
_atom_site_fract_x
_atom_site_fract_y
_atom_site_fract_z
Hf1 Hf 0.000 0.000 0.000
Cr1 Cr 0.500 0.500 0.500
Te1 Te 0.000 0.000 0.500
```

Total magnetic moment ... 4.6 μB/cell

---

The relative energies come out as model one 19.9; model two 0.0, with values in kJ/mol of atoms.